Entry from Alexandria: a geometry-optimized AlSi2PdW structure (GGA-PBEsol).

The value obtained for the total magnetization is 0.000 μB/cell. The density of states at the Fermi level is 2.978 states/eV/f.u. Its space-group type is P4/mmm. The raw formation energy is 0.783 eV per atom. The density is 6.08 g/cm³.

a = 4.6223 Å, b = 4.6223 Å, c = 4.7759 Å
α = 90.00°, β = 90.00°, γ = 90.00°
Closest atoms and distances in Å follow each position.
Sites, in units of the cell vectors:
Si 0.0000 0.5000 0.0000  2 W 2.31
Si 0.5000 0.0000 0.0000  2 W 2.31
Al 0.0000 0.0000 0.5000  2 W 2.39
Pd 0.5000 0.5000 0.5000  4 Al 3.27, 8 Si 3.32
W 0.0000 0.0000 0.0000  4 Si 2.31, 2 Al 2.39

Entry from Alexandria: a geometry-optimized YAs2Ir structure (GGA-PBEsol).

The value obtained for the total magnetization is 0.000 μB/cell. The relative energy among the computed polymorphs comes out at 423 meV per atom. The density of states at the Fermi level is 3.463 states/eV/f.u. Its space-group type is Fm-3m. The calculation puts the formation energy at -0.41 eV/atom. The density is 10.11 g/cm³.

a = 4.6436 Å, b = 4.6436 Å, c = 4.6436 Å
α = 60.00°, β = 60.00°, γ = 60.00°
Closest atoms and distances in Å follow each position.
Sites, in units of the cell vectors:
Y 0.5000 0.5000 0.5000  8 As 2.84
As 0.2500 0.2500 0.2500  4 Ir 2.84, 4 Y 2.84
As 0.7500 0.7500 0.7500  4 Y 2.84, 4 Ir 2.84
Ir 0.0000 0.0000 0.0000  8 As 2.84

Entry from Alexandria: a geometry-optimized Zr2CoAs structure (GGA-PBEsol).

The value obtained for the total magnetization is 0.001 μB/cell. The density of states at the Fermi level is 5.053 states/eV/f.u. Its space-group type is Amm2. The calculation puts the formation energy at -0.80 eV/atom. The density is 7.74 g/cm³.

a = 3.6245 Å, b = 3.7815 Å, c = 5.2753 Å
α = 90.00°, β = 110.09°, γ = 90.00°
Closest atoms and distances in Å follow each position.
Sites, in units of the cell vectors:
Co 0.5415 0.5000 0.0830  2 As 2.44, 5 Zr 2.68-2.69
As 0.6968 0.0000 0.3937  2 Co 2.44, 4 Zr 2.72
Zr 0.9800 0.0000 0.9600  4 Co 2.69, 3 As 2.81
Zr 0.2715 0.5000 0.5430  3 Co 2.68-2.91, 4 As 2.72

Entry from Alexandria: a geometry-optimized MnZnSbTe2 structure (GGA-PBEsol).

The value obtained for the total magnetization is 4.705 μB/cell. The relative energy among the computed polymorphs comes out at 341 meV per atom. The density of states at the Fermi level is 4.000 states/eV/f.u. Its space-group type is P4/mmm. The raw formation energy is 0.798 eV per atom. The density is 5.95 g/cm³.

a = 4.9895 Å, b = 5.2758 Å, c = 5.2758 Å
α = 90.00°, β = 90.00°, γ = 90.00°
Closest atoms and distances in Å follow each position.
Sites, in units of the cell vectors:
Sb 0.5000 0.0000 0.0000  2 Zn 2.49
Mn 0.5000 0.5000 0.5000  8 Te 3.63, 4 Sb 3.73
Te 0.0000 0.5000 0.0000  2 Zn 2.64
Te 0.0000 0.0000 0.5000  2 Zn 2.64
Zn 0.0000 0.0000 0.0000  2 Sb 2.49, 4 Te 2.64

Entry from Alexandria: a geometry-optimized Fe2ReMo structure (GGA-PBEsol).

The value obtained for the total magnetization is 1.650 μB/cell. The density of states at the Fermi level is 4.485 states/eV/f.u. Its space-group type is Pmm2. The calculation puts the formation energy at 0.15 eV/atom. The density is 12.89 g/cm³.

a = 2.6484 Å, b = 3.5935 Å, c = 5.3311 Å
α = 90.00°, β = 90.00°, γ = 90.00°
Closest atoms and distances in Å follow each position.
Sites, in units of the cell vectors:
Fe 0.5000 0.5000 0.2375  1 Re 2.43, 6 Fe 2.56-2.65, 4 Mo 2.57
Fe 0.0000 0.0000 0.0040  2 Mo 2.52-2.81, 4 Re 2.53, 6 Fe 2.56-2.65
Re 0.5000 0.5000 0.7814  5 Fe 2.43-2.53, 2 Re 2.65
Mo 0.0000 0.0000 0.4770  6 Fe 2.52-2.81, 2 Mo 2.65, 4 Re 2.76

Entry from Alexandria: a geometry-optimized MgZrNb3 structure (GGA-PBEsol).

The value obtained for the total magnetization is 0.000 μB/cell. The density of states at the Fermi level is 6.012 states/eV/f.u. Its space-group type is Pm-3m. The calculation puts the formation energy at 1.47 eV/atom. The density is 5.64 g/cm³.

a = 4.8780 Å, b = 4.8780 Å, c = 4.8780 Å
α = 90.00°, β = 90.00°, γ = 90.00°
Closest atoms and distances in Å follow each position.
Sites, in units of the cell vectors:
Nb 0.0000 0.0000 0.5000  2 Zr 2.44
Nb 0.0000 0.5000 0.0000  2 Zr 2.44
Nb 0.5000 0.0000 0.0000  2 Zr 2.44
Mg 0.5000 0.5000 0.5000  12 Nb 3.45
Zr 0.0000 0.0000 0.0000  6 Nb 2.44

Entry from Alexandria: a geometry-optimized LiP2W structure (GGA-PBEsol).

The value obtained for the total magnetization is 0.000 μB/cell. The relative energy among the computed polymorphs comes out at 0 meV per atom. The density of states at the Fermi level is 1.426 states/eV/f.u. Its space-group type is Cm. The calculation puts the formation energy at -0.22 eV/atom. The density is 7.67 g/cm³.

a = 3.1182 Å, b = 4.0575 Å, c = 4.6350 Å
α = 97.51°, β = 109.66°, γ = 90.00°
Closest atoms and distances in Å follow each position.
Sites, in units of the cell vectors:
Li 0.2396 0.1232 0.4791  5 P 2.35-2.55
W 0.5019 0.6015 0.0038  7 P 2.46-2.66
P 0.9697 0.1172 0.9395  1 P 2.27, 1 Li 2.35, 2 W 2.49
P 0.7888 0.6581 0.5776  1 P 2.27, 3 W 2.46-2.48, 2 Li 2.53

Entry from Alexandria: a geometry-optimized Li2SiCl structure (GGA-PBEsol).

The value obtained for the total magnetization is 0.000 μB/cell. The relative energy among the computed polymorphs comes out at 301 meV per atom. The density of states at the Fermi level is 1.505 states/eV/f.u. Its space-group type is Pmm2. The raw formation energy is -0.400 eV per atom. The density is 1.91 g/cm³.

a = 2.8690 Å, b = 4.4803 Å, c = 5.2485 Å
α = 90.00°, β = 90.00°, γ = 89.97°
Closest atoms and distances in Å follow each position.
Sites, in units of the cell vectors:
Li 0.8768 0.6247 0.5000  4 Cl 2.65-2.66, 2 Li 2.87
Li 0.8744 0.1251 0.0000  4 Si 2.66, 2 Li 2.87
Si 0.3744 0.6251 0.0000  4 Li 2.66, 2 Si 2.87
Cl 0.3744 0.1251 0.5000  4 Li 2.65-2.66, 2 Cl 2.87

Entry from Alexandria: a geometry-optimized AlNi4 structure (GGA-PBEsol).

The value obtained for the total magnetization is 0.175 μB/cell. The density of states at the Fermi level is 7.951 states/eV/f.u. Its space-group type is I4/m. The calculation puts the formation energy at -0.33 eV/atom. The density is 8.07 g/cm³.

a = 3.5458 Å, b = 4.2826 Å, c = 4.2826 Å
α = 80.13°, β = 65.54°, γ = 65.54°
Closest atoms and distances in Å follow each position.
Sites, in units of the cell vectors:
Ni 0.5976 0.2054 0.5993  9 Ni 2.42-2.51, 3 Al 2.47-2.49
Ni 0.4024 0.7946 0.4007  9 Ni 2.42-2.51, 3 Al 2.47-2.49
Ni 0.1970 0.4007 0.2054  9 Ni 2.42-2.51, 3 Al 2.47-2.49
Ni 0.8030 0.5993 0.7946  9 Ni 2.42-2.51, 3 Al 2.47-2.49
Al 0.0000 0.0000 0.0000  12 Ni 2.47-2.49

Entry from Alexandria: a geometry-optimized Hf3TeIr structure (GGA-PBEsol).

The value obtained for the total magnetization is 0.000 μB/cell. The density of states at the Fermi level is 2.586 states/eV/f.u. Its space-group type is Pm-3m. The raw formation energy is 1.279 eV per atom. The density is 11.31 g/cm³.

a = 5.0079 Å, b = 5.0079 Å, c = 5.0079 Å
α = 90.00°, β = 90.00°, γ = 90.00°
Closest atoms and distances in Å follow each position.
Sites, in units of the cell vectors:
Hf 0.5000 0.0000 0.0000  2 Te 2.50
Hf 0.0000 0.5000 0.0000  2 Te 2.50
Hf 0.0000 0.0000 0.5000  2 Te 2.50
Ir 0.5000 0.5000 0.5000  12 Hf 3.54
Te 0.0000 0.0000 0.0000  6 Hf 2.50

Entry from Alexandria: a geometry-optimized CaCuAg2 structure (GGA-PBEsol).

The value obtained for the total magnetization is 0.000 μB/cell. The relative energy among the computed polymorphs comes out at 303 meV per atom. The density of states at the Fermi level is 2.426 states/eV/f.u. Its space-group type is R-3m. The calculation puts the formation energy at 0.27 eV/atom. The density is 6.97 g/cm³.

a = 3.1933 Å, b = 3.1933 Å, c = 8.8116 Å
α = 79.56°, β = 79.56°, γ = 60.00°
Closest atoms and distances in Å follow each position.
Sites, in units of the cell vectors:
Ag 0.7384 0.7384 0.7849  3 Cu 2.61
Ag 0.2616 0.2616 0.2151  3 Cu 2.61
Cu 0.0000 0.0000 0.0000  6 Ag 2.61
Ca 0.5000 0.5000 0.5000  6 Ag 3.07, 6 Ca 3.19

Entry from Alexandria: a geometry-optimized Tl2HgPb structure (GGA-PBEsol).

The value obtained for the total magnetization is 0.000 μB/cell. The density of states at the Fermi level is 1.890 states/eV/f.u. Its space-group type is P1. The calculation puts the formation energy at 0.01 eV/atom. The density is 12.49 g/cm³.

a = 3.3958 Å, b = 5.8078 Å, c = 5.8929 Å
α = 101.59°, β = 90.48°, γ = 106.99°
Closest atoms and distances in Å follow each position.
Sites, in units of the cell vectors:
Hg 0.5035 0.0032 0.4972  7 Tl 3.25-3.48, 3 Pb 3.27-3.40, 2 Hg 3.40
Tl 0.2453 0.4874 0.7459  3 Hg 3.25-3.48, 4 Pb 3.35-3.47, 5 Tl 3.36-3.40
Tl 0.9974 0.9990 0.9972  5 Tl 3.36-3.40, 3 Pb 3.38-3.40, 4 Hg 3.39-3.42
Pb 0.7537 0.5104 0.2596  3 Hg 3.27-3.40, 7 Tl 3.35-3.47, 2 Pb 3.40

Entry from Alexandria: a geometry-optimized Cs2CaCl structure (GGA-PBEsol).

The value obtained for the total magnetization is 1.030 μB/cell. The density of states at the Fermi level is 3.731 states/eV/f.u. Its space-group type is Fm-3m. The raw formation energy is -0.343 eV per atom. The density is 2.56 g/cm³.

a = 6.7949 Å, b = 6.7949 Å, c = 6.7949 Å
α = 60.00°, β = 60.00°, γ = 60.00°
Closest atoms and distances in Å follow each position.
Sites, in units of the cell vectors:
Cs 0.7500 0.7500 0.7500  4 Cl 4.16, 4 Ca 4.16
Cs 0.2500 0.2500 0.2500  4 Cl 4.16, 4 Ca 4.16
Ca 0.5000 0.5000 0.5000  8 Cs 4.16
Cl 0.0000 0.0000 0.0000  8 Cs 4.16

Number 1: total DFT energy (no corrections) -31.4 eV/f.u.. Number 2: total DFT energy (no corrections) -28.5 eV/f.u.. Number 3: total DFT energy (no corrections) -34.2 eV/f.u.. Number 4: total DFT energy (no corrections) -19.0 eV/f.u.. Number 5: total DFT energy (no corrections) -42.4 eV/f.u.. Number 6: total DFT energy (no corrections) -35.9 eV/f.u.. Number 7: total DFT energy (no corrections) -28.2 eV/f.u.. Number 8: total DFT energy (no corrections) -13.3 eV/f.u.. Number 9: total DFT energy (no corrections) -30.4 eV/f.u.. Number 10: total DFT energy (no corrections) -38.5 eV/f.u.. Number 11: total DFT energy (no corrections) -12.0 eV/f.u.. Number 12: total DFT energy (no corrections) -9.8 eV/f.u.. Number 13: total DFT energy (no corrections) -7.4 eV/f.u..